Record 1
Here is a geometry-optimized Sr3TeRh structure from Alexandria. Energies are from GGA-PBEsol.

## Properties
Energy (eV per atom): -3.25
Total magnetic moment (μB/cell): 0.00
Raw formation energy (eV/atom): 0.190
Space-group type: No. 221

Geometry as CIF:
```
data_Sr3TeRh
_space_group_name_H-M_alt 'P 1'
_space_group_IT_number 1
_space_group_name_Hall 'P 1'
_cell_length_a 5.986
_cell_length_b 5.986
_cell_length_c 5.986
_cell_angle_alpha 90.00
_cell_angle_beta 90.00
_cell_angle_gamma 90.00
loop_
_atom_site_label
_atom_site_type_symbol
_atom_site_fract_x
_atom_site_fract_y
_atom_site_fract_z
Sr1 Sr 0.000 0.500 0.000
Sr2 Sr 0.000 0.000 0.500
Sr3 Sr 0.500 0.000 0.000
Te1 Te 0.000 0.000 0.000
Rh1 Rh 0.500 0.500 0.500
```

Record 2
Here is a geometry-optimized SrTe2Rh2 structure from Alexandria. Energies are from GGA-PBEsol.

## Properties
Energy (eV per atom): -5.64
Total magnetic moment (μB/cell): 0.65
Raw formation energy (eV/atom): -0.608
Space-group type: No. 139

Geometry as CIF:
```
data_SrTe2Rh2
_space_group_name_H-M_alt 'P 1'
_space_group_IT_number 1
_space_group_name_Hall 'P 1'
_cell_length_a 4.252
_cell_length_b 4.252
_cell_length_c 6.978
_cell_angle_alpha 107.74
_cell_angle_beta 107.74
_cell_angle_gamma 90.00
loop_
_atom_site_label
_atom_site_type_symbol
_atom_site_fract_x
_atom_site_fract_y
_atom_site_fract_z
Sr1 Sr 0.000 0.000 0.000
Te1 Te 0.369 0.369 0.738
Te2 Te 0.631 0.631 0.262
Rh1 Rh 0.250 0.750 0.500
Rh2 Rh 0.750 0.250 0.500
```

Record 3
Here is a geometry-optimized SrTeRh3 structure from Alexandria. Energies are from GGA-PBEsol.

## Properties
Energy (eV per atom): -5.75
Total magnetic moment (μB/cell): 0.00
Raw formation energy (eV/atom): 0.209
Space-group type: No. 221

Geometry as CIF:
```
data_SrTeRh3
_space_group_name_H-M_alt 'P 1'
_space_group_IT_number 1
_space_group_name_Hall 'P 1'
_cell_length_a 4.841
_cell_length_b 4.841
_cell_length_c 4.841
_cell_angle_alpha 90.00
_cell_angle_beta 90.00
_cell_angle_gamma 90.00
loop_
_atom_site_label
_atom_site_type_symbol
_atom_site_fract_x
_atom_site_fract_y
_atom_site_fract_z
Sr1 Sr 0.500 0.500 0.500
Te1 Te 0.000 0.000 0.000
Rh1 Rh 0.000 0.500 0.000
Rh2 Rh 0.000 0.000 0.500
Rh3 Rh 0.500 0.000 0.000
```